[1]
BaLi: relaxed, GGA-PBEsol.

Output
DOS at the Fermi energy: 3.59 states/eV/cell
calculated formation energy: 0.151 eV/atom
size of the total moment: 0.000 μB per cell

```
data_BaLi
_chemical_formula_sum 'Ba2 Li2'
_cell_length_a 4.2398
_cell_length_b 4.2398
_cell_length_c 10.7157
_cell_angle_alpha 90.00
_cell_angle_beta 90.00
_cell_angle_gamma 120.00
_space_group_name_H-M_alt 'P -3 m 1'
_space_group_IT_number 164
_space_group_name_Hall '-P 3 2"'
loop_
_atom_site_label
_atom_site_type_symbol
_atom_site_fract_x
_atom_site_fract_y
_atom_site_fract_z
Ba1 Ba 0.3333 0.6667 0.1681
Li1 Li 0.3333 0.6667 0.5746
```

[2]
Ba2Li: relaxed, GGA-PBEsol.

Output
DOS at the Fermi energy: 7.75 states/eV/cell
calculated formation energy: 0.068 eV/atom
size of the total moment: 0.001 μB per cell

```
data_Ba2Li
_chemical_formula_sum 'Ba4 Li2'
_cell_length_a 6.3699
_cell_length_b 6.3699
_cell_length_c 7.9306
_cell_angle_alpha 90.00
_cell_angle_beta 90.00
_cell_angle_gamma 120.00
_space_group_name_H-M_alt 'P 63/m m c'
_space_group_IT_number 194
_space_group_name_Hall '-P 6c 2c'
loop_
_atom_site_label
_atom_site_type_symbol
_atom_site_fract_x
_atom_site_fract_y
_atom_site_fract_z
Ba1 Ba 0.0000 0.0000 0.0000
Ba2 Ba 0.3333 0.6667 0.2500
Li1 Li 0.3333 0.6667 0.7500
```

[3]
Ba3Li4: relaxed, GGA-PBEsol.

Output
DOS at the Fermi energy: 13.86 states/eV/cell
calculated formation energy: 0.038 eV/atom
size of the total moment: 0.001 μB per cell

```
data_Ba3Li4
_chemical_formula_sum 'Ba6 Li8'
_cell_length_a 4.0399
_cell_length_b 4.0399
_cell_length_c 31.1412
_cell_angle_alpha 90.00
_cell_angle_beta 90.00
_cell_angle_gamma 90.00
_space_group_name_H-M_alt 'I 4/m m m'
_space_group_IT_number 139
_space_group_name_Hall '-I 4 2'
loop_
_atom_site_label
_atom_site_type_symbol
_atom_site_fract_x
_atom_site_fract_y
_atom_site_fract_z
Ba1 Ba 0.0000 0.0000 0.0000
Ba2 Ba 0.0000 0.0000 0.3048
Li1 Li 0.0000 0.0000 0.1165
Li2 Li 0.0000 0.0000 0.4204
```

[4]
Ba5Li: relaxed, GGA-PBEsol.

Output
DOS at the Fermi energy: 15.64 states/eV/cell
calculated formation energy: 0.053 eV/atom
size of the total moment: 0.001 μB per cell

```
data_Ba5Li
_chemical_formula_sum 'Ba10 Li2'
_cell_length_a 4.7622
_cell_length_b 19.8811
_cell_length_c 6.6840
_cell_angle_alpha 90.00
_cell_angle_beta 90.00
_cell_angle_gamma 90.00
_space_group_name_H-M_alt 'C m m m'
_space_group_IT_number 65
_space_group_name_Hall '-C 2 2'
loop_
_atom_site_label
_atom_site_type_symbol
_atom_site_fract_x
_atom_site_fract_y
_atom_site_fract_z
Ba1 Ba 0.0000 0.0000 0.0000
Ba2 Ba 0.0000 0.1535 0.5000
Ba3 Ba 0.0000 0.3301 0.0000
Li1 Li 0.0000 0.5000 0.5000
```

> Which value of calculated formation energy does entry 2 give?

0.068 eV/atom

> calculated formation energy of number 2 (Ba2Li)?

0.068 eV/atom